48
Lattice="5.5770 0.0000 0.0000 0.0000 5.6429 -0.0153 0.0000 1.6303 16.2575" Properties=species:S:1:pos:R:3 comment="NaCaAlH2OF6, optimized geometry, DFT PBE" energy_ha_per_atom=-0.1988 pbc="T T T"
H 0.5339 2.6121 8.9547
F 2.2537 1.5880 10.7200
Al 1.8519 4.6542 5.8574
Na 3.5150 5.4251 12.1419
F 3.6223 2.2814 8.5989
F 0.0152 3.3419 2.0583
F 4.5022 2.1958 4.0470
Al 4.6404 1.8039 2.2560
F 0.2388 3.7371 6.1040
F 5.3382 3.5361 10.1382
H 3.7798 5.0520 8.1372
F 0.8000 6.1497 5.5744
O 4.7130 5.3112 7.9579
F 1.0748 5.0774 12.1952
H 0.9913 3.0364 16.2338
Ca 3.7094 2.5506 14.6660
Al 3.7250 2.6190 10.3848
H 5.0430 4.6611 7.2875
F 3.3233 5.6852 5.5222
F 4.7770 1.1235 10.6677
F 5.5618 3.9314 14.1839
F 5.0422 6.5004 13.6510
Ca 4.6560 1.7354 6.5372
O 0.8640 1.9620 8.2843
H 2.2546 1.7969 0.8260
H 1.7972 2.2212 8.1050
O 3.6525 6.1264 16.0867
F 1.9547 4.9918 7.6433
Al 0.9366 5.4693 13.9862
F 3.8633 3.0110 12.1758
O 1.9245 1.1468 0.1555
H 4.5857 4.2369 0.0084
H 3.3224 5.4763 15.4162
F 2.8037 3.1162 6.0551
F 3.0273 2.7210 2.0094
Na 0.7265 2.6633 12.2291
Ca 0.9209 5.5378 9.7049
F 1.7137 4.2622 4.0664
Na 4.8505 4.6099 4.0131
F 2.7733 4.1570 10.1871
Ca 1.8675 4.7226 1.5762
F 2.5497 4.5523 14.2328
F 0.5348 0.7728 2.5912
F 1.9885 6.9649 13.7032
F 4.7432 1.4663 0.4701
Na 2.0620 1.8481 4.1003
F 0.8338 5.8069 15.7721
F 3.5885 0.3083 2.5390

48
Lattice="-4.5990 -2.7465 -6.0463 2.5504 -7.6644 -0.0600 -6.6880 -7.0853 2.1667" Properties=species:S:1:pos:R:3 comment="NaCaAlH2OF6, optimized geometry, DFT PBE" energy_ha_per_atom=-0.1988 pbc="T T T"
Al -3.1569 -4.0924 -1.8744
F -5.6239 -9.2496 -0.8729
H -5.5185 -10.9728 -4.5757
Ca -3.0200 -12.5970 1.1009
F -3.8081 -10.4065 0.4340
H -1.5315 -1.8406 -1.8349
Ca -1.3732 -7.8869 -1.4035
Al -5.5798 -13.4037 -2.0651
H -6.1207 -12.4016 -4.8182
F -6.4496 -11.7942 -1.9773
Na -4.9560 -6.9150 -2.0003
Na -3.7807 -10.5811 -1.9393
F -2.7261 -7.8076 -5.6304
F -0.3126 -6.2852 -0.0940
H -1.2827 -9.8867 -4.6505
F -2.2955 -3.7382 -0.2802
F -6.4411 -13.7579 -3.6594
F -6.0106 -9.6885 1.6909
O -0.9596 -8.9604 0.8091
F -7.2736 -7.3398 -2.0392
Ca -7.3635 -9.6092 -2.5360
Ca -5.7167 -4.8991 -5.0405
F -4.5705 -4.8362 -0.9866
F -5.6776 -7.2547 0.7713
F -1.6896 -3.2969 -2.7081
Al -3.9938 -8.6517 -4.6205
H -2.6159 -5.0945 0.8786
F -2.2871 -5.7020 -1.9623
Na -6.5761 -11.6435 0.5265
F -3.0591 -10.2414 -4.7109
F -3.4797 -7.9084 -0.3237
F -4.8565 -12.9821 -0.4299
O -7.7770 -8.5357 -4.7486
H -3.2182 -6.5233 0.6362
O 0.9771 -8.7146 -1.3020
Na -2.1605 -5.8526 -4.4660
F -5.2569 -9.5877 -3.6159
F -4.9285 -7.0896 -4.3735
H -7.2051 -15.6555 -2.1046
Al -4.7428 -8.8444 0.6810
F -8.4240 -11.2109 -3.8455
F -7.0470 -14.1992 -1.2314
O -9.7137 -8.7815 -2.6376
F -4.1662 -12.6599 -2.9529
F -1.4630 -10.1563 -1.9003
F -3.8801 -4.5141 -3.5097
H -7.4539 -7.6095 0.7110
F -3.1127 -8.2466 -3.0666

24
Lattice="-3.1169 -3.2045 5.7660 2.0466 -4.9268 -1.6318 6.2538 -0.7355 2.9718" Properties=species:S:1:pos:R:3 comment="NaCaAlPHO5F2, optimized geometry, DFT PBE" energy_ha_per_atom=-0.2360 pbc="T T T"
Al 4.1502 -2.8311 0.6700
O 4.4352 -4.4392 6.8543
O 5.3316 -6.7103 6.0766
O 3.9467 -5.3165 4.5095
Na 0.7060 -2.8348 5.7300
O 1.2368 -3.5503 2.5966
O 2.3126 -2.4443 0.6064
H 0.4180 -5.1681 4.2776
H 4.7654 -3.6986 2.8284
Na 4.4774 -6.0320 1.3760
O 1.2354 -5.0096 4.8076
F 0.7774 -7.5935 5.4179
P 4.1532 -5.7007 6.0007
O 0.7482 -4.4276 0.2517
Al 2.5917 -4.4334 3.5530
F 2.3264 -6.0010 2.5525
Ca 0.0000 0.0000 0.0000
F 4.4060 -1.2733 1.6882
F 2.8570 -2.8658 4.5536
O 3.9480 -3.8572 2.2984
Ca -1.5585 -1.6023 2.8830
O -0.1481 -2.1565 1.0294
O 2.8708 -6.4225 6.4996
P 1.0303 -3.1661 1.1053

54
Lattice="5.5231 -0.0079 0.0000 -2.5793 9.2098 0.0000 0.0000 0.0000 10.8029" Properties=species:S:1:pos:R:3 comment="NaCa2Al2P2H5O11F4, optimized geometry, DFT PBE" energy_ha_per_atom=-0.2304 pbc="T T T"
O 2.0930 1.3251 6.8263
P 0.7006 4.5111 2.7007
Al 3.6266 2.3835 6.4228
O 3.1253 5.9119 4.9354
F 2.9174 2.6218 0.6265
F 0.0264 6.5801 6.0280
P 1.9460 0.4154 8.1022
F -1.5737 8.3153 5.0529
O -2.0341 8.9694 8.1022
O -0.1815 3.2900 10.3368
H 2.6997 5.5487 4.0786
P 0.9979 8.7865 2.7007
O 0.4660 2.9742 2.7007
F -1.5737 8.3153 0.3486
Al 3.6266 2.3835 9.7815
H 0.2441 3.6532 9.4801
O 0.8508 7.8769 3.9766
O 2.4571 0.6540 2.7007
O -0.0113 5.1085 1.4456
Al -0.6828 6.8185 4.3801
Ca 1.9758 7.8651 9.9171
O -0.0113 5.1085 3.9559
H 0.2441 3.6532 6.7243
H 3.1131 5.1562 10.5997
O 0.8508 7.8769 1.4248
O 4.9779 0.2325 2.7007
Ca 0.9681 1.3369 0.8858
H -0.1693 4.0458 0.2032
O -1.4339 7.1011 2.7007
O 3.1253 5.9119 0.4661
H -2.0339 7.8867 2.7007
P 2.2432 4.6909 8.1022
Al -0.6828 6.8185 1.0214
O -0.1815 3.2900 5.8675
Ca 0.9681 1.3369 4.5156
O 2.0930 1.3251 9.3781
H -0.1693 4.0458 5.1982
Ca 1.9758 7.8651 6.2873
O 2.9551 4.0934 6.8470
O 0.7487 4.3422 8.1022
F 4.5175 0.8867 10.4543
H 3.1131 5.1562 5.6047
O 2.9551 4.0934 9.3573
F 4.5175 0.8867 5.7500
H 4.9777 1.3152 8.1022
H 2.6997 5.5487 1.3228
O 2.4778 6.2278 8.1022
O 4.3777 2.1009 8.1022
Na 3.5716 2.9042 2.7007
F 0.0264 6.5801 10.1764
F 2.9174 2.6218 4.7749
Na -0.6278 6.2978 8.1022
O 0.4867 8.5480 8.1022
O 2.1951 4.8597 2.7007